# VCd2Ni

A relaxed VCd2Ni crystal (PBE, the Alexandria database).

a = 2.8351 Å, b = 2.8351 Å, c = 10.1909 Å
α = 82.00°, β = 82.00°, γ = 60.00°
Last column: nearest neighbours and their distance in Å.
Sites, in units of the cell vectors:
V (0.0000, 0.0000, 0.0000)  2 Cd 2.83, 6 V 2.84
Cd (0.0937, 0.0937, 0.7189)  3 Ni 2.74, 1 V 2.83, 6 Cd 2.84
Cd (0.9063, 0.9063, 0.2811)  3 Ni 2.74, 1 V 2.83, 6 Cd 2.84
Ni (0.5000, 0.5000, 0.5000)  6 Cd 2.74, 6 Ni 2.84

ρ = 7.93 Mg/m³
Energy relative to the elements = 0.54 eV/atom
Energy = -3.643 eV per atom
Space-group type = No. 166
ΔE to the lowest computed polymorph = 213 meV per atom